# La2SbN GGA-PBEsol relaxed
data_La2SbN
_chemical_formula_sum 'La8 Sb4 N4'
_symmetry_space_group_name_H-M 'I -4 2 d'
_symmetry_Int_Tables_number 122
_symmetry_space_group_name_Hall 'I -4 2bw'
_cell_length_a 7.2614
_cell_length_b 7.2614
_cell_length_c 8.0378
_cell_angle_alpha 90.00
_cell_angle_beta 90.00
_cell_angle_gamma 90.00
loop_
_atom_site_label
_atom_site_type_symbol
_atom_site_fract_x
_atom_site_fract_y
_atom_site_fract_z
La1 La 0.1578 0.7500 0.1250
Sb1 Sb 0.0000 0.0000 0.5000
N1 N 0.0000 0.0000 0.0000
# * total DFT energy (no corrections): -7.1968 eV/atom
# * formation energy from raw total energies: -1.253 eV/atom